Density functional theory data (PBE) for crystalline Tb12SmHo5 at its relaxed geometry.

a b c (Å): 10.6553 10.6553 5.0238
angles (deg): 90.00 90.00 90.11
Positions (direct):
Tb (0.9995, 0.3325, 0.5000)
Tb (0.0005, 0.6675, 0.5000)
Tb (0.1660, 0.1660, 0.0000)
Tb (0.1661, 0.5004, 0.0000)
Tb (0.3325, 0.9995, 0.5000)
Tb (0.3328, 0.3328, 0.5000)
Tb (0.5004, 0.1661, 0.0000)
Tb (0.4996, 0.8339, 0.0000)
Tb (0.6675, 0.0005, 0.5000)
Tb (0.6672, 0.6672, 0.5000)
Tb (0.8339, 0.4996, 0.0000)
Tb (0.8340, 0.8340, 0.0000)
Sm (0.5000, 0.5000, 0.0000)
Ho (0.0000, 0.0000, 0.5000)
Ho (0.1666, 0.8334, 0.0000)
Ho (0.3326, 0.6674, 0.5000)
Ho (0.6674, 0.3326, 0.5000)
Ho (0.8334, 0.1666, 0.0000)

Computed properties:
The calculation puts the uncorrected energy at -4.6038 eV/atom. Its volume is 31.7 Å³ per atom. The spin magnetization comes out at 0.0 μB per formula unit. For the formation enthalpy at 0 K, the calculation gives 0.017 eV per atom.